Entry A
This record from the Alexandria database describes an optimized crystal structure of PaCu2F8. The functional is PBE.

Results
- space group = No. 97
- spin magnetization (μB/atom) = 0.09

abc: 5.816 5.816 6.639
angles: 115.98 115.98 90.00
Last column: magnetic moment on the atom in μB.
Positions (direct):
Pa  0.500  0.500  0.000  -0.01
Cu  0.750  0.250  0.500  0.42
Cu  0.250  0.750  0.500  0.42
F  0.750  0.329  0.238  0.02
F  0.091  0.512  0.762  0.02
F  0.671  0.250  0.762  0.02
F  0.250  0.091  0.762  0.02
F  0.488  0.909  0.238  0.02
F  0.909  0.750  0.238  0.02
F  0.329  0.488  0.238  0.02
F  0.512  0.671  0.762  0.02

Entry B
This record from the Alexandria database describes an optimized crystal structure of PaCu2F8. The functional is PBE.

Results
- space group = No. 12
- spin magnetization (μB/atom) = 0.09

abc: 5.296 6.040 6.040
angles: 55.55 90.89 90.89
Last column: magnetic moment on the atom in μB.
Positions (direct):
Pa  0.000  0.000  0.000  0.01
Cu  0.471  0.701  0.701  0.41
Cu  0.529  0.299  0.299  0.41
F  0.249  0.330  0.861  0.01
F  0.751  0.139  0.670  0.01
F  0.235  0.836  0.836  0.01
F  0.765  0.164  0.164  0.01
F  0.249  0.861  0.330  0.01
F  0.751  0.670  0.139  0.01
F  0.774  0.625  0.625  0.06
F  0.226  0.375  0.375  0.06

entry A is preferred energetically. Next in line: 0.128 eV/atom higher.

Entry A
This record from the Alexandria database describes an optimized crystal structure of CuPbF5. The functional is PBE.

Results
- space group = No. 71
- spin magnetization (μB/atom) = 0.15

abc: 3.984 5.733 5.733
angles: 72.19 69.65 69.65
Last column: magnetic moment on the atom in μB.
Positions (direct):
Cu  0.000  0.000  0.000  0.67
Pb  0.500  0.500  0.500  0.01
F  0.772  0.228  0.228  0.04
F  0.000  0.291  0.709  0.07
F  0.500  0.000  0.000  0.09
F  0.000  0.709  0.291  0.07
F  0.228  0.772  0.772  0.04

Entry B
This record from the Alexandria database describes an optimized crystal structure of CuPbF5. The functional is PBE.

Results
- space group = No. 15
- spin magnetization (μB/atom) = 0.14

abc: 5.677 5.677 7.993
angles: 69.31 69.31 71.10
Last column: magnetic moment on the atom in μB.
Positions (direct):
Cu  0.000  0.000  0.000  0.67
Cu  0.000  0.000  0.500  0.67
Pb  0.551  0.449  0.250  -0.01
Pb  0.449  0.551  0.750  -0.01
F  0.792  0.750  0.117  0.04
F  0.281  0.695  0.471  0.06
F  0.750  0.792  0.617  0.04
F  0.926  0.074  0.250  0.08
F  0.305  0.719  0.029  0.06
F  0.695  0.281  0.971  0.06
F  0.074  0.926  0.750  0.08
F  0.250  0.208  0.383  0.04
F  0.719  0.305  0.529  0.06
F  0.208  0.250  0.883  0.04

entry B is preferred energetically. Next in line: 0.020 eV/atom higher.

Entry A
This record from the Alexandria database describes an optimized crystal structure of CuPbF2. The functional is PBE.

Results
- space group = No. 225
- spin magnetization (μB/atom) = 0.00

abc: 4.441 4.441 4.441
angles: 60.00 60.00 60.00
Positions (direct):
Pb  0.500  0.500  0.500
Cu  0.000  0.000  0.000
F  0.250  0.250  0.250
F  0.750  0.750  0.750

Entry B
This record from the Alexandria database describes an optimized crystal structure of CuPbF2. The functional is PBE.

Results
- space group = No. 166
- spin magnetization (μB/atom) = 0.08

abc: 7.298 7.298 7.298
angles: 26.72 26.72 26.72
Last column: magnetic moment on the atom in μB.
Positions (direct):
Pb  0.000  0.000  0.000  0.00
Cu  0.500  0.500  0.500  0.29
F  0.882  0.882  0.882  0.02
F  0.118  0.118  0.118  0.02

Entry C
This record from the Alexandria database describes an optimized crystal structure of CuPbF2. The functional is PBE.

Results
- space group = No. 166
- spin magnetization (μB/atom) = 0.00

abc: 7.927 7.927 7.927
angles: 24.12 24.12 24.12
Positions (direct):
Pb  0.500  0.500  0.500
Cu  0.000  0.000  0.000
F  0.921  0.921  0.921
F  0.079  0.079  0.079

entry C is preferred energetically. Next in line: 0.039 eV/atom higher.

Entry A
This record from the Alexandria database describes an optimized crystal structure of Cu3PbF8. The functional is PBE.

Results
- space group = No. 147
- spin magnetization (μB/atom) = 0.25

abc: 5.325 5.325 6.984
angles: 90.00 90.00 120.00
Last column: magnetic moment on the atom in μB.
Positions (direct):
Cu  0.667  0.333  0.783  0.64
Cu  0.333  0.667  0.217  0.64
Cu  0.000  0.000  0.000  0.83
Pb  0.000  0.000  0.500  0.00
F  0.714  0.007  0.179  0.10
F  0.293  0.286  0.179  0.10
F  0.993  0.707  0.179  0.10
F  0.286  0.993  0.821  0.10
F  0.707  0.714  0.821  0.10
F  0.007  0.293  0.821  0.10
F  0.667  0.333  0.514  0.12
F  0.333  0.667  0.486  0.12

Entry B
This record from the Alexandria database describes an optimized crystal structure of Cu3PbF8. The functional is PBE.

Results
- space group = No. 162
- spin magnetization (μB/atom) = 0.25

abc: 5.168 5.168 7.197
angles: 90.00 90.00 120.00
Last column: magnetic moment on the atom in μB.
Positions (direct):
Cu  0.333  0.667  0.000  0.63
Cu  0.667  0.333  0.000  0.63
Cu  0.000  0.000  0.000  0.69
Pb  0.000  0.000  0.500  -0.01
F  0.326  0.326  0.847  0.11
F  0.674  0.000  0.847  0.11
F  0.000  0.674  0.847  0.11
F  0.674  0.674  0.153  0.11
F  0.326  0.000  0.153  0.11
F  0.000  0.326  0.153  0.11
F  0.333  0.667  0.500  0.19
F  0.667  0.333  0.500  0.19

entry A is preferred energetically. Next in line: 0.161 eV/atom higher.

Entry A
This record from the Alexandria database describes an optimized crystal structure of CuPbF3. The functional is PBE.

Results
- space group = No. 221
- spin magnetization (μB/atom) = 0.04

abc: 4.183 4.183 4.183
angles: 90.00 90.00 90.00
Last column: magnetic moment on the atom in μB.
Positions (direct):
Pb  0.500  0.500  0.500  -0.01
Cu  0.000  0.000  0.000  0.17
F  0.000  0.500  0.000  0.01
F  0.000  0.000  0.500  0.00
F  0.500  0.000  0.000  0.02

Entry B
This record from the Alexandria database describes an optimized crystal structure of CuPbF3. The functional is PBE.

Results
- space group = No. 221
- spin magnetization (μB/atom) = 0.00

abc: 4.722 4.722 4.722
angles: 90.00 90.00 90.00
Positions (direct):
Pb  0.000  0.000  0.000
Cu  0.500  0.500  0.500
F  0.000  0.500  0.000
F  0.000  0.000  0.500
F  0.500  0.000  0.000

entry A is preferred energetically. Next in line: 0.313 eV/atom higher.

Entry A
This record from the Alexandria database describes an optimized crystal structure of CuPb3F. The functional is PBE.

Results
- space group = No. 221
- spin magnetization (μB/atom) = 0.00

abc: 5.206 5.206 5.206
angles: 90.00 90.00 90.00
Positions (direct):
Pb  0.000  0.500  0.000
Pb  0.000  0.000  0.500
Pb  0.500  0.000  0.000
Cu  0.000  0.000  0.000
F  0.500  0.500  0.500

Entry B
This record from the Alexandria database describes an optimized crystal structure of CuPb3F. The functional is PBE.

Results
- space group = No. 221
- spin magnetization (μB/atom) = 0.00

abc: 5.049 5.049 5.049
angles: 90.00 90.00 90.00
Positions (direct):
Pb  0.000  0.500  0.000
Pb  0.000  0.000  0.500
Pb  0.500  0.000  0.000
Cu  0.500  0.500  0.500
F  0.000  0.000  0.000

entry B is preferred energetically. Next in line: 0.087 eV/atom higher.